{
  "formula": "KSrCoO2",
  "functional": "PBE+U",
  "state": "optimized geometry",
  "mass_density_g_cm3": 3.2,
  "total_energy_ev_per_atom": -5.12,
  "volume_a3_per_cell": 225.9,
  "cell": [[5.770, 0.000, 0.000], [0.000, 5.448, 0.000], [-0.011, 0.000, 7.185]],
  "species": ["K", "K", "Sr", "Sr", "Co", "Co", "O", "O", "O", "O"],
  "frac_coords": [[0.000, 0.001, 0.250], [0.000, 0.999, 0.750], [0.500, 0.500, 0.250], [0.500, 0.500, 0.750], [0.500, 0.000, 0.000], [0.500, 0.000, 0.500], [0.308, 0.258, 0.000], [0.308, 0.742, 0.500], [0.692, 0.258, 0.500], [0.692, 0.742, 0.000]]
}